# AlCr2Cd2O6

A relaxed AlCr2Cd2O6 crystal (GGA+U, the Alexandria database).

It has space group C2/m (No. 12), with a = 5.221 Å, b = 9.016 Å, c = 5.901 Å, α = 90.00°, β = 106.52° and γ = 90.00°. The inequivalent atoms are Al at (0.000, 0.000, 0.000), Cr at (0.000, 0.335, 0.000), Cd at (0.000, 0.168, 0.500), O at (0.217, 0.163, 0.184) and O at (0.247, 0.500, 0.180).

For the total energy, the calculation gives -6.294 eV per atom. For the calculated volume, the calculation gives 266.3 Å³ per cell. The crystal system is monoclinic. As for the density of states at the Fermi level: 4.39 states/eV/cell.